Entry 1:
## ZrScCdIn (PBE-GGA)

Data for ZrScCdIn after structural relaxation.

abc: 4.998 4.998 4.998
angles: 60.00 60.00 60.00
Positions (direct):
Zr1 0.000 0.000 0.000
Sc1 0.500 0.500 0.500
Cd1 0.750 0.750 0.750
In1 0.250 0.250 0.250

## Properties
Formation enthalpy at 0 K, meV/atom: -254
ΔE to the lowest computed polymorph, meV per atom: 28
DOS at the Fermi energy, states/eV/atom: 0.49
Total energy, eV per atom: -4.887

Entry 2:
## Th5In2Co (PBE-GGA)

Data for Th5In2Co after structural relaxation.

abc: 8.046 12.392 4.686
angles: 90.00 90.00 90.00
Positions (direct):
Th1 0.000 0.000 0.000
Th2 0.130 0.305 0.000
Th3 0.186 0.563 0.500
Th4 0.314 0.063 0.500
Th5 0.370 0.805 0.000
Th6 0.500 0.500 0.000
Th7 0.630 0.195 0.000
Th8 0.686 0.937 0.500
Th9 0.814 0.437 0.500
Th10 0.870 0.695 0.000
In1 0.081 0.825 0.500
In2 0.419 0.325 0.500
In3 0.581 0.675 0.500
In4 0.919 0.175 0.500
Co1 0.000 0.500 0.000
Co2 0.500 0.000 0.000

## Properties
Formation enthalpy at 0 K, meV/atom: -189
DOS at the Fermi energy, states/eV/atom: 1.27
Total energy, eV per atom: -6.399

Entry 3:
## HfSi2RuI (PBE-GGA)

Data for HfSi2RuI after structural relaxation.

abc: 4.551 4.551 5.349
angles: 90.00 90.00 90.00
Positions (direct):
Hf1 0.000 0.000 0.000
Si1 0.000 0.500 0.500
Si2 0.500 0.000 0.500
Ru1 0.000 0.000 0.500
I1 0.500 0.500 0.000

## Properties
DOS at the Fermi energy, states/eV/atom: 0.33
Total energy, eV per atom: -6.244
Formation energy from raw total energies, eV per atom: 0.081

Entry 4:
## PmTh3In4 (PBE-GGA)

Data for PmTh3In4 after structural relaxation.

abc: 3.305 5.916 11.824
angles: 90.00 90.00 90.00
Positions (direct):
Pm1 0.000 0.000 0.000
Th1 0.000 0.000 0.500
Th2 0.000 0.500 0.249
Th3 0.000 0.500 0.751
In1 0.500 0.000 0.248
In2 0.500 0.000 0.752
In3 0.500 0.500 0.000
In4 0.500 0.500 0.500

## Properties
Formation enthalpy at 0 K, meV/atom: -288
DOS at the Fermi energy, states/eV/atom: 0.81
Total energy, eV per atom: -5.034

Entry 5:
## BaFe3Ge (PBE-GGA)

Data for BaFe3Ge after structural relaxation.

abc: 4.740 4.740 4.740
angles: 90.00 90.00 90.00
Positions (direct):
Ba1 0.000 0.000 0.000
Fe1 0.000 0.500 0.500
Fe2 0.500 0.000 0.500
Fe3 0.500 0.500 0.000
Ge1 0.500 0.500 0.500

## Properties
Formation enthalpy at 0 K, meV/atom: 631
ΔE to the lowest computed polymorph, meV per atom: 0
DOS at the Fermi energy, states/eV/atom: 1.47
Total energy, eV per atom: -5.755

Entry 6:
## Pm2Si2Ni2H (PBE-GGA)

Data for Pm2Si2Ni2H after structural relaxation.

abc: 5.646 5.646 6.977
angles: 127.55 127.55 41.66
Positions (direct):
Pm1 0.056 0.056 0.322
Pm2 0.944 0.944 0.678
Si1 0.344 0.344 0.891
Si2 0.656 0.656 0.109
Ni1 0.293 0.293 0.179
Ni2 0.707 0.707 0.821
H1 0.500 0.500 0.500

## Properties
DOS at the Fermi energy, states/eV/atom: 0.53
Total energy, eV per atom: -5.740

Entry 7:
## BiH3Pt2 (PBE-GGA)

Data for BiH3Pt2 after structural relaxation.

abc: 6.920 6.920 6.549
angles: 109.58 109.58 30.88
Positions (direct):
Bi1 0.087 0.087 0.327
Bi2 0.913 0.913 0.673
H1 0.137 0.137 0.768
H2 0.272 0.272 0.598
H3 0.411 0.411 0.028
H4 0.589 0.589 0.972
H5 0.728 0.728 0.402
H6 0.863 0.863 0.232
Pt1 0.279 0.279 0.849
Pt2 0.411 0.411 0.300
Pt3 0.589 0.589 0.700
Pt4 0.721 0.721 0.151

## Properties
DOS at the Fermi energy, states/eV/atom: 0.13
Total energy, eV per atom: -4.275